#one
## PmMgAg (PBE-GGA)

Data for crystalline PmMgAg at its relaxed geometry.

Values from the calculation:
Fermi-level density of states, states/eV/f.u.: 2.5

Geometry as CIF:
```
data_PmMgAg
_cell_length_a 5.075
_cell_length_b 3.409
_cell_length_c 8.652
_cell_angle_alpha 90.00
_cell_angle_beta 90.00
_cell_angle_gamma 90.00
_symmetry_space_group_name_H-M 'P m m a'
_symmetry_Int_Tables_number 51
loop_
_symmetry_equiv_pos_as_xyz
'x,y,z'
'-x,-y,-z'
'-x+1/2,-y,z'
'x+1/2,y,-z'
'x+1/2,-y,-z'
'-x+1/2,y,z'
'-x,y,-z'
'x,-y,z'
loop_
_atom_site_label
_atom_site_type_symbol
_atom_site_fract_x
_atom_site_fract_y
_atom_site_fract_z
Pm1 Pm 0.250 0.000 0.221
Mg1 Mg 0.250 0.500 0.583
Ag1 Ag 0.250 0.500 0.909
```



#two
## PmMgAg (PBE-GGA)

Data for crystalline PmMgAg at its relaxed geometry.

Values from the calculation:
Fermi-level density of states, states/eV/f.u.: 3.2

Geometry as CIF:
```
data_PmMgAg
_cell_length_a 7.6729
_cell_length_b 7.6729
_cell_length_c 4.3938
_cell_angle_alpha 90.00
_cell_angle_beta 90.00
_cell_angle_gamma 120.00
_symmetry_space_group_name_H-M 'P -6 2 m'
_symmetry_Int_Tables_number 189
_symmetry_space_group_name_Hall 'P -6 -2'
loop_
_atom_site_label
_atom_site_type_symbol
_atom_site_fract_x
_atom_site_fract_y
_atom_site_fract_z
Pm1 Pm 0.0000 0.4162 0.0000
Mg1 Mg 0.0000 0.7599 0.5000
Ag1 Ag 0.0000 0.0000 0.0000
Ag2 Ag 0.3333 0.6667 0.5000
```



It is #two that is most stable; the runner-up trails by 0.068 eV/atom.



#one
## PmMgAg (PBE-GGA)

Data for crystalline PmMgAg at its relaxed geometry.

Values from the calculation:
Fermi-level density of states, states/eV/f.u.: 2.6

Geometry as CIF:
```
data_PmMgAg
_cell_length_a 4.9578
_cell_length_b 4.9578
_cell_length_c 3.4756
_cell_angle_alpha 90.00
_cell_angle_beta 90.00
_cell_angle_gamma 120.00
_symmetry_space_group_name_H-M 'P 3 m 1'
_symmetry_Int_Tables_number 156
loop_
_symmetry_equiv_pos_as_xyz
'x,y,z'
'-y,x-y,z'
'-x+y,-x,z'
'-y,-x,z'
'-x+y,y,z'
'x,x-y,z'
loop_
_atom_site_label
_atom_site_type_symbol
_atom_site_fract_x
_atom_site_fract_y
_atom_site_fract_z
Pm1 Pm 0.0000 0.0000 0.0000
Mg1 Mg 0.3333 0.6667 0.4990
Ag1 Ag 0.6667 0.3333 0.5008
```



#two
## PmMgAg (PBE-GGA)

Data for crystalline PmMgAg at its relaxed geometry.

Values from the calculation:
Fermi-level density of states, states/eV/f.u.: 3.2

Geometry as CIF:
```
data_PmMgAg
_cell_length_a 3.527
_cell_length_b 3.527
_cell_length_c 11.811
_cell_angle_alpha 90.00
_cell_angle_beta 90.00
_cell_angle_gamma 90.00
_symmetry_space_group_name_H-M 'I 4 m m'
_symmetry_Int_Tables_number 107
_symmetry_space_group_name_Hall 'I 4 -2'
loop_
_atom_site_label
_atom_site_type_symbol
_atom_site_fract_x
_atom_site_fract_y
_atom_site_fract_z
Pm1 Pm 0.000 0.000 0.000
Mg1 Mg 0.000 0.000 0.297
Ag1 Ag 0.000 0.000 0.676
```



#three
## PmMgAg (PBE-GGA)

Data for crystalline PmMgAg at its relaxed geometry.

Values from the calculation:
Fermi-level density of states, states/eV/f.u.: 4.0

Geometry as CIF:
```
data_PmMgAg
_cell_length_a 6.955
_cell_length_b 6.955
_cell_length_c 6.955
_cell_angle_alpha 90.00
_cell_angle_beta 90.00
_cell_angle_gamma 90.00
_symmetry_space_group_name_H-M 'F -4 3 m'
_symmetry_Int_Tables_number 216
_symmetry_space_group_name_Hall 'F -4 2 3'
loop_
_atom_site_label
_atom_site_type_symbol
_atom_site_fract_x
_atom_site_fract_y
_atom_site_fract_z
Pm1 Pm 0.000 0.000 0.000
Mg1 Mg 0.000 0.000 0.500
Ag1 Ag 0.250 0.250 0.250
```



#four
## PmMgAg (PBE-GGA)

Data for crystalline PmMgAg at its relaxed geometry.

Values from the calculation:
Fermi-level density of states, states/eV/f.u.: 2.0

Geometry as CIF:
```
data_PmMgAg
_cell_length_a 3.333
_cell_length_b 29.194
_cell_length_c 3.578
_cell_angle_alpha 90.00
_cell_angle_beta 90.00
_cell_angle_gamma 90.00
_symmetry_space_group_name_H-M 'C m c m'
_symmetry_Int_Tables_number 63
_symmetry_space_group_name_Hall '-C 2c 2'
loop_
_atom_site_label
_atom_site_type_symbol
_atom_site_fract_x
_atom_site_fract_y
_atom_site_fract_z
Pm1 Pm 0.000 0.158 0.250
Mg1 Mg 0.000 0.044 0.250
Ag1 Ag 0.000 0.276 0.250
```



It is #one that is most stable; the runner-up trails by 0.022 eV/atom.



#one
## Pm2Mg3Ag2 (PBE-GGA)

Data for crystalline Pm2Mg3Ag2 at its relaxed geometry.

Values from the calculation:
Fermi-level density of states, states/eV/f.u.: 4.9

Geometry as CIF:
```
data_Pm2Mg3Ag2
_cell_length_a 10.405
_cell_length_b 4.693
_cell_length_c 7.638
_cell_angle_alpha 90.00
_cell_angle_beta 112.92
_cell_angle_gamma 90.00
_symmetry_space_group_name_H-M 'C 1 2/m 1'
_symmetry_Int_Tables_number 12
loop_
_symmetry_equiv_pos_as_xyz
'x,y,z'
'-x,-y,-z'
'-x,y,-z'
'x,-y,z'
'x+1/2,y+1/2,z'
'-x+1/2,-y+1/2,-z'
'-x+1/2,y+1/2,-z'
'x+1/2,-y+1/2,z'
loop_
_atom_site_label
_atom_site_type_symbol
_atom_site_fract_x
_atom_site_fract_y
_atom_site_fract_z
Pm1 Pm 0.139 0.000 0.280
Mg1 Mg 0.000 0.500 0.500
Mg2 Mg 0.128 0.500 0.937
Ag1 Ag 0.151 0.000 0.705
```



#two
## Pm2Mg3Ag2 (PBE-GGA)

Data for crystalline Pm2Mg3Ag2 at its relaxed geometry.

Values from the calculation:
Fermi-level density of states, states/eV/f.u.: 5.7

Geometry as CIF:
```
data_Pm2Mg3Ag2
_cell_length_a 10.713
_cell_length_b 4.410
_cell_length_c 7.504
_cell_angle_alpha 90.00
_cell_angle_beta 95.93
_cell_angle_gamma 90.00
_symmetry_space_group_name_H-M 'C 1 2/m 1'
_symmetry_Int_Tables_number 12
loop_
_symmetry_equiv_pos_as_xyz
'x,y,z'
'-x,-y,-z'
'-x,y,-z'
'x,-y,z'
'x+1/2,y+1/2,z'
'-x+1/2,-y+1/2,-z'
'-x+1/2,y+1/2,-z'
'x+1/2,-y+1/2,z'
loop_
_atom_site_label
_atom_site_type_symbol
_atom_site_fract_x
_atom_site_fract_y
_atom_site_fract_z
Pm1 Pm 0.125 0.000 0.346
Mg1 Mg 0.000 0.500 0.000
Mg2 Mg 0.185 0.000 0.868
Ag1 Ag 0.089 0.500 0.656
```



It is #one that is most stable; the runner-up trails by 0.050 eV/atom.



#one
## Pm2MgAg3 (PBE-GGA)

Data for crystalline Pm2MgAg3 at its relaxed geometry.

Values from the calculation:
Fermi-level density of states, states/eV/f.u.: 4.4

Geometry as CIF:
```
data_Pm2MgAg3
_cell_length_a 5.1389
_cell_length_b 5.1389
_cell_length_c 12.4873
_cell_angle_alpha 90.00
_cell_angle_beta 90.00
_cell_angle_gamma 120.00
_symmetry_space_group_name_H-M 'P -3 m 1'
_symmetry_Int_Tables_number 164
_symmetry_space_group_name_Hall '-P 3 2"'
loop_
_atom_site_label
_atom_site_type_symbol
_atom_site_fract_x
_atom_site_fract_y
_atom_site_fract_z
Pm1 Pm 0.0000 0.0000 0.0000
Pm2 Pm 0.0000 0.0000 0.5000
Pm3 Pm 0.3333 0.6667 0.1800
Mg1 Mg 0.3333 0.6667 0.6634
Ag1 Ag 0.0000 0.0000 0.2539
Ag2 Ag 0.3333 0.6667 0.4261
Ag3 Ag 0.3333 0.6667 0.9128
```



#two
## Pm2MgAg3 (PBE-GGA)

Data for crystalline Pm2MgAg3 at its relaxed geometry.

Values from the calculation:
Fermi-level density of states, states/eV/f.u.: 4.3

Geometry as CIF:
```
data_Pm2MgAg3
_cell_length_a 3.580
_cell_length_b 3.580
_cell_length_c 11.036
_cell_angle_alpha 90.00
_cell_angle_beta 90.00
_cell_angle_gamma 90.00
_symmetry_space_group_name_H-M 'P 4/m m m'
_symmetry_Int_Tables_number 123
_symmetry_space_group_name_Hall '-P 4 2'
loop_
_atom_site_label
_atom_site_type_symbol
_atom_site_fract_x
_atom_site_fract_y
_atom_site_fract_z
Pm1 Pm 0.000 0.000 0.178
Mg1 Mg 0.000 0.000 0.500
Ag1 Ag 0.500 0.500 0.000
Ag2 Ag 0.500 0.500 0.361
```



It is #one that is most stable; the runner-up trails by 0.030 eV/atom.